VASP calculation (PBE-GGA) on crystalline KMgTl3 at its relaxed geometry.

Cell: 7.3980 7.3980 3.4644 Å, 90.00 90.00 120.00°
Element x y z (fractional)
K 0.0000 0.0000 0.0000
Mg 0.6667 0.3333 0.0000
Tl 0.0492 0.5246 0.5000
Tl 0.4754 0.5246 0.5000
Tl 0.4754 0.9508 0.5000

Computed properties:
As for the space-group type: P-6m2 (187). Its energy above the lowest structure with this stoichiometry is 46 meV/atom.